Entry 1:
# Ca2CeCd

Crystalline Ca2CeCd at its relaxed geometry (PBE-GGA, Alexandria via LeMat-Bulk).

Cell and atoms, written as POSCAR:
```
Ca2CeCd
1.0
1.770 1.022 12.117
-1.770 1.022 12.117
0.000 -2.044 12.117
Ca Ce Cd
2 1 1
Direct
0.095 0.095 0.095
0.905 0.905 0.905
0.000 0.000 0.000
0.500 0.500 0.500
```

## Properties
Total DFT energy (no corrections): -10.24 eV/f.u.
E above lowest polymorph: 0.157 eV/atom
Formation energy: 0.1527 eV/atom
Total moment: 1.5 μB/f.u.
Fermi-level density of states: 8.04 states/eV/cell

=====

Entry 2:
# DyMg5Ag4

Crystalline DyMg5Ag4 at its relaxed geometry (PBE-GGA, Alexandria via LeMat-Bulk).

Cell and atoms, written as POSCAR:
```
DyMg5Ag4
1.0
3.358 0.000 0.000
0.000 3.358 0.000
0.000 0.000 18.013
Dy Mg Ag
1 5 4
Direct
0.000 0.000 0.000
0.500 0.500 0.133
0.500 0.500 0.317
0.500 0.500 0.500
0.500 0.500 0.683
0.500 0.500 0.867
0.000 0.000 0.224
0.000 0.000 0.409
0.000 0.000 0.591
0.000 0.000 0.776
```

## Properties
Total DFT energy (no corrections): -25.95 eV/f.u.
Formation energy: -0.1967 eV/atom
Total moment: 0.0 μB/f.u.
Fermi-level density of states: 5.81 states/eV/cell

=====

Entry 3:
# BaLaAl2

Crystalline BaLaAl2 at its relaxed geometry (PBE-GGA, Alexandria via LeMat-Bulk).

Cell and atoms, written as POSCAR:
```
BaLaAl2
1.0
-4.461 4.461 3.332
4.461 -4.461 3.332
4.461 4.461 -3.332
Ba La Al
2 2 4
Direct
0.000 0.000 0.000
0.750 0.250 0.500
0.250 0.750 0.500
0.500 0.500 0.000
0.149 0.625 0.024
0.375 0.399 0.524
0.601 0.125 0.976
0.875 0.851 0.476
```

## Properties
Total DFT energy (no corrections): -13.24 eV/f.u.
E above lowest polymorph: 0.461 eV/atom
Formation energy: 0.2745 eV/atom
Total moment: 0.0 μB/f.u.
Fermi-level density of states: 10.36 states/eV/cell

=====

Entry 4:
# POs2W

Crystalline POs2W at its relaxed geometry (PBE-GGA, Alexandria via LeMat-Bulk).

Cell and atoms, written as POSCAR:
```
POs2W
1.0
-1.430 2.196 4.450
1.430 -2.196 4.450
1.430 2.196 -4.450
P Os W
1 2 1
Direct
0.000 0.000 0.000
0.215 0.715 0.500
0.785 0.285 0.500
0.500 0.500 0.000
```

## Properties
Total DFT energy (no corrections): -41.08 eV/f.u.
Formation energy: -0.0644 eV/atom
Total moment: 0.0 μB/f.u.
Fermi-level density of states: 2.35 states/eV/cell